No. 1
# TbPO4, relaxed, DFT GGA-PBE
data_TbPO4
_chemical_formula_sum 'Tb4 P4 O16'
_space_group_name_H-M_alt 'P 1 21/c 1'
_space_group_IT_number 14
_cell_length_a 6.270
_cell_length_b 6.751
_cell_length_c 7.956
_cell_angle_alpha 90.00
_cell_angle_beta 126.80
_cell_angle_gamma 90.00
loop_
_space_group_symop_operation_xyz
'x,y,z'
'-x,-y,-z'
'-x,y+1/2,-z+1/2'
'x,-y+1/2,z+1/2'
loop_
_atom_site_label
_atom_site_type_symbol
_atom_site_fract_x
_atom_site_fract_y
_atom_site_fract_z
_atom_site_occupancy
Tb1 Tb 0.179 0.155 0.279 1
P1 P 0.317 0.663 0.200 1
O1 O 0.123 0.658 0.618 1
O2 O 0.189 0.502 0.252 1
O3 O 0.343 0.605 0.025 1
O4 O 0.394 0.211 0.116 1
# Energy = -191.1 eV for the cell shown
# Size of the total moment = 0.0 μB/f.u.


No. 2
# TbTcPO, relaxed, DFT GGA-PBE
data_TbTcPO
_chemical_formula_sum 'Tb2 Tc2 P2 O2'
_space_group_name_H-M_alt 'P 4/n m m'
_space_group_IT_number 129
_cell_length_a 3.923
_cell_length_b 3.923
_cell_length_c 8.320
_cell_angle_alpha 90.00
_cell_angle_beta 90.00
_cell_angle_gamma 90.00
loop_
_space_group_symop_operation_xyz
'x,y,z'
'-x,-y,-z'
'-y+1/2,x,z'
'y+1/2,-x,-z'
'-x+1/2,-y+1/2,z'
'x+1/2,y+1/2,-z'
'y,-x+1/2,z'
'-y,x+1/2,-z'
'x+1/2,-y,-z'
'-x+1/2,y,z'
'-y,-x,-z'
'y,x,z'
'-x,y+1/2,-z'
'x,-y+1/2,z'
'y+1/2,x+1/2,-z'
'-y+1/2,-x+1/2,z'
loop_
_atom_site_label
_atom_site_type_symbol
_atom_site_fract_x
_atom_site_fract_y
_atom_site_fract_z
_atom_site_occupancy
Tb1 Tb 0.250 0.250 0.134 1
Tc1 Tc 0.250 0.750 0.500 1
P1 P 0.250 0.250 0.664 1
O1 O 0.250 0.750 0.000 1
# Energy = -66.1 eV for the cell shown
# Size of the total moment = 0.0 μB/f.u.


No. 3
# TbTcPO, relaxed, DFT GGA-PBE
data_TbTcPO
_chemical_formula_sum 'Tb2 Tc2 P2 O2'
_space_group_name_H-M_alt 'P 4/n m m'
_space_group_IT_number 129
_cell_length_a 4.477
_cell_length_b 4.477
_cell_length_c 7.359
_cell_angle_alpha 90.00
_cell_angle_beta 90.00
_cell_angle_gamma 90.00
loop_
_space_group_symop_operation_xyz
'x,y,z'
'-x,-y,-z'
'-y+1/2,x,z'
'y+1/2,-x,-z'
'-x+1/2,-y+1/2,z'
'x+1/2,y+1/2,-z'
'y,-x+1/2,z'
'-y,x+1/2,-z'
'x+1/2,-y,-z'
'-x+1/2,y,z'
'-y,-x,-z'
'y,x,z'
'-x,y+1/2,-z'
'x,-y+1/2,z'
'y+1/2,x+1/2,-z'
'-y+1/2,-x+1/2,z'
loop_
_atom_site_label
_atom_site_type_symbol
_atom_site_fract_x
_atom_site_fract_y
_atom_site_fract_z
_atom_site_occupancy
Tb1 Tb 0.250 0.750 0.000 1
Tc1 Tc 0.250 0.250 0.474 1
P1 P 0.250 0.250 0.796 1
O1 O 0.250 0.750 0.500 1
# Energy = -52.5 eV for the cell shown
# Size of the total moment = 2.9 μB/f.u.


No. 4
# TbTcPO, relaxed, DFT GGA-PBE
data_TbTcPO
_chemical_formula_sum 'Tb2 Tc2 P2 O2'
_space_group_name_H-M_alt 'P m c 21'
_space_group_IT_number 26
_cell_length_a 4.402
_cell_length_b 4.284
_cell_length_c 6.457
_cell_angle_alpha 90.00
_cell_angle_beta 90.00
_cell_angle_gamma 90.00
loop_
_space_group_symop_operation_xyz
'x,y,z'
'-x,-y,z+1/2'
'-x,y,z'
'x,-y,z+1/2'
loop_
_atom_site_label
_atom_site_type_symbol
_atom_site_fract_x
_atom_site_fract_y
_atom_site_fract_z
_atom_site_occupancy
Tb1 Tb 0.000 0.195 0.000 1
Tc1 Tc 0.500 0.328 0.351 1
P1 P 0.500 0.173 0.695 1
O1 O 0.000 0.319 0.343 1
# Energy = -62.6 eV for the cell shown
# Size of the total moment = 0.2 μB/f.u.


No. 5
# TbTcPO, relaxed, DFT GGA-PBE
data_TbTcPO
_chemical_formula_sum 'Tb2 Tc2 P2 O2'
_space_group_name_H-M_alt 'P 4/n m m'
_space_group_IT_number 129
_cell_length_a 4.230
_cell_length_b 4.230
_cell_length_c 8.720
_cell_angle_alpha 90.00
_cell_angle_beta 90.00
_cell_angle_gamma 90.00
loop_
_space_group_symop_operation_xyz
'x,y,z'
'-x,-y,-z'
'-y+1/2,x,z'
'y+1/2,-x,-z'
'-x+1/2,-y+1/2,z'
'x+1/2,y+1/2,-z'
'y,-x+1/2,z'
'-y,x+1/2,-z'
'x+1/2,-y,-z'
'-x+1/2,y,z'
'-y,-x,-z'
'y,x,z'
'-x,y+1/2,-z'
'x,-y+1/2,z'
'y+1/2,x+1/2,-z'
'-y+1/2,-x+1/2,z'
loop_
_atom_site_label
_atom_site_type_symbol
_atom_site_fract_x
_atom_site_fract_y
_atom_site_fract_z
_atom_site_occupancy
Tb1 Tb 0.250 0.750 0.000 1
Tc1 Tc 0.250 0.250 0.466 1
P1 P 0.250 0.250 0.210 1
O1 O 0.250 0.750 0.500 1
# Energy = -52.6 eV for the cell shown
# Size of the total moment = 1.3 μB/f.u.


No. 6
# TbTmPO, relaxed, DFT GGA-PBE
data_TbTmPO
_chemical_formula_sum 'Tb2 Tm2 P2 O2'
_space_group_name_H-M_alt 'P m c 21'
_space_group_IT_number 26
_cell_length_a 4.123
_cell_length_b 7.618
_cell_length_c 5.383
_cell_angle_alpha 90.00
_cell_angle_beta 90.00
_cell_angle_gamma 90.00
loop_
_space_group_symop_operation_xyz
'x,y,z'
'-x,-y,z+1/2'
'-x,y,z'
'x,-y,z+1/2'
loop_
_atom_site_label
_atom_site_type_symbol
_atom_site_fract_x
_atom_site_fract_y
_atom_site_fract_z
_atom_site_occupancy
Tb1 Tb 0.000 0.132 0.000 1
Tm1 Tm 0.500 0.290 0.479 1
P1 P 0.500 0.353 0.978 1
O1 O 0.000 0.170 0.456 1
# Energy = -55.0 eV for the cell shown
# Size of the total moment = 0.0 μB/f.u.


No. 7
# TbTmPO, relaxed, DFT GGA-PBE
data_TbTmPO
_chemical_formula_sum 'Tb2 Tm2 P2 O2'
_space_group_name_H-M_alt 'P 4/n m m'
_space_group_IT_number 129
_cell_length_a 4.284
_cell_length_b 4.284
_cell_length_c 8.527
_cell_angle_alpha 90.00
_cell_angle_beta 90.00
_cell_angle_gamma 90.00
loop_
_space_group_symop_operation_xyz
'x,y,z'
'-x,-y,-z'
'-y+1/2,x,z'
'y+1/2,-x,-z'
'-x+1/2,-y+1/2,z'
'x+1/2,y+1/2,-z'
'y,-x+1/2,z'
'-y,x+1/2,-z'
'x+1/2,-y,-z'
'-x+1/2,y,z'
'-y,-x,-z'
'y,x,z'
'-x,y+1/2,-z'
'x,-y+1/2,z'
'y+1/2,x+1/2,-z'
'-y+1/2,-x+1/2,z'
loop_
_atom_site_label
_atom_site_type_symbol
_atom_site_fract_x
_atom_site_fract_y
_atom_site_fract_z
_atom_site_occupancy
Tb1 Tb 0.250 0.250 0.107 1
Tm1 Tm 0.250 0.750 0.500 1
P1 P 0.250 0.250 0.692 1
O1 O 0.250 0.750 0.000 1
# Energy = -54.5 eV for the cell shown
# Size of the total moment = 0.0 μB/f.u.


No. 8
# TbTmPO, relaxed, DFT GGA-PBE
data_TbTmPO
_chemical_formula_sum 'Tb2 Tm2 P2 O2'
_space_group_name_H-M_alt 'P 4/n m m'
_space_group_IT_number 129
_cell_length_a 4.284
_cell_length_b 4.284
_cell_length_c 8.463
_cell_angle_alpha 90.00
_cell_angle_beta 90.00
_cell_angle_gamma 90.00
loop_
_space_group_symop_operation_xyz
'x,y,z'
'-x,-y,-z'
'-y+1/2,x,z'
'y+1/2,-x,-z'
'-x+1/2,-y+1/2,z'
'x+1/2,y+1/2,-z'
'y,-x+1/2,z'
'-y,x+1/2,-z'
'x+1/2,-y,-z'
'-x+1/2,y,z'
'-y,-x,-z'
'y,x,z'
'-x,y+1/2,-z'
'x,-y+1/2,z'
'y+1/2,x+1/2,-z'
'-y+1/2,-x+1/2,z'
loop_
_atom_site_label
_atom_site_type_symbol
_atom_site_fract_x
_atom_site_fract_y
_atom_site_fract_z
_atom_site_occupancy
Tb1 Tb 0.250 0.750 0.000 1
Tm1 Tm 0.250 0.250 0.403 1
P1 P 0.250 0.250 0.797 1
O1 O 0.250 0.750 0.500 1
# Energy = -54.0 eV for the cell shown
# Size of the total moment = 0.0 μB/f.u.


No. 9
# TbYPO, relaxed, DFT GGA-PBE
data_TbYPO
_chemical_formula_sum 'Tb2 Y2 P2 O2'
_space_group_name_H-M_alt 'P m c 21'
_space_group_IT_number 26
_cell_length_a 4.160
_cell_length_b 7.584
_cell_length_c 5.633
_cell_angle_alpha 90.00
_cell_angle_beta 90.00
_cell_angle_gamma 90.00
loop_
_space_group_symop_operation_xyz
'x,y,z'
'-x,-y,z+1/2'
'-x,y,z'
'x,-y,z+1/2'
loop_
_atom_site_label
_atom_site_type_symbol
_atom_site_fract_x
_atom_site_fract_y
_atom_site_fract_z
_atom_site_occupancy
Tb1 Tb 0.000 0.124 0.000 1
Y1 Y 0.500 0.298 0.448 1
P1 P 0.500 0.342 0.945 1
O1 O 0.000 0.172 0.399 1
# Energy = -59.0 eV for the cell shown
# Size of the total moment = 0.0 μB/f.u.


No. 10
# TbYPO, relaxed, DFT GGA-PBE
data_TbYPO
_chemical_formula_sum 'Tb2 Y2 P2 O2'
_space_group_name_H-M_alt 'P 4/n m m'
_space_group_IT_number 129
_cell_length_a 4.328
_cell_length_b 4.328
_cell_length_c 8.553
_cell_angle_alpha 90.00
_cell_angle_beta 90.00
_cell_angle_gamma 90.00
loop_
_space_group_symop_operation_xyz
'x,y,z'
'-x,-y,-z'
'-y+1/2,x,z'
'y+1/2,-x,-z'
'-x+1/2,-y+1/2,z'
'x+1/2,y+1/2,-z'
'y,-x+1/2,z'
'-y,x+1/2,-z'
'x+1/2,-y,-z'
'-x+1/2,y,z'
'-y,-x,-z'
'y,x,z'
'-x,y+1/2,-z'
'x,-y+1/2,z'
'y+1/2,x+1/2,-z'
'-y+1/2,-x+1/2,z'
loop_
_atom_site_label
_atom_site_type_symbol
_atom_site_fract_x
_atom_site_fract_y
_atom_site_fract_z
_atom_site_occupancy
Tb1 Tb 0.250 0.250 0.103 1
Y1 Y 0.250 0.750 0.500 1
P1 P 0.250 0.250 0.697 1
O1 O 0.250 0.750 0.000 1
# Energy = -58.3 eV for the cell shown
# Size of the total moment = 0.0 μB/f.u.


No. 11
# TbYPO, relaxed, DFT GGA-PBE
data_TbYPO
_chemical_formula_sum 'Tb2 Y2 P2 O2'
_space_group_name_H-M_alt 'P 4/n m m'
_space_group_IT_number 129
_cell_length_a 4.319
_cell_length_b 4.319
_cell_length_c 8.614
_cell_angle_alpha 90.00
_cell_angle_beta 90.00
_cell_angle_gamma 90.00
loop_
_space_group_symop_operation_xyz
'x,y,z'
'-x,-y,-z'
'-y+1/2,x,z'
'y+1/2,-x,-z'
'-x+1/2,-y+1/2,z'
'x+1/2,y+1/2,-z'
'y,-x+1/2,z'
'-y,x+1/2,-z'
'x+1/2,-y,-z'
'-x+1/2,y,z'
'-y,-x,-z'
'y,x,z'
'-x,y+1/2,-z'
'x,-y+1/2,z'
'y+1/2,x+1/2,-z'
'-y+1/2,-x+1/2,z'
loop_
_atom_site_label
_atom_site_type_symbol
_atom_site_fract_x
_atom_site_fract_y
_atom_site_fract_z
_atom_site_occupancy
Tb1 Tb 0.250 0.750 0.000 1
Y1 Y 0.250 0.250 0.398 1
P1 P 0.250 0.250 0.802 1
O1 O 0.250 0.750 0.500 1
# Energy = -58.0 eV for the cell shown
# Size of the total moment = 0.0 μB/f.u.


No. 12
# TcTePO, relaxed, DFT GGA-PBE
data_TcTePO
_chemical_formula_sum 'Tc2 Te2 P2 O2'
_space_group_name_H-M_alt 'P 4/n m m'
_space_group_IT_number 129
_cell_length_a 4.191
_cell_length_b 4.191
_cell_length_c 6.984
_cell_angle_alpha 90.00
_cell_angle_beta 90.00
_cell_angle_gamma 90.00
loop_
_space_group_symop_operation_xyz
'x,y,z'
'-x,-y,-z'
'-y+1/2,x,z'
'y+1/2,-x,-z'
'-x+1/2,-y+1/2,z'
'x+1/2,y+1/2,-z'
'y,-x+1/2,z'
'-y,x+1/2,-z'
'x+1/2,-y,-z'
'-x+1/2,y,z'
'-y,-x,-z'
'y,x,z'
'-x,y+1/2,-z'
'x,-y+1/2,z'
'y+1/2,x+1/2,-z'
'-y+1/2,-x+1/2,z'
loop_
_atom_site_label
_atom_site_type_symbol
_atom_site_fract_x
_atom_site_fract_y
_atom_site_fract_z
_atom_site_occupancy
Tc1 Tc 0.250 0.750 0.000 1
Te1 Te 0.250 0.250 0.335 1
P1 P 0.250 0.250 0.845 1
O1 O 0.250 0.750 0.500 1
# Energy = -48.9 eV for the cell shown
# Size of the total moment = 0.0 μB/f.u.